Entry 1:
A plane-wave DFT calculation with PBE was carried out for an optimized crystal structure of Nd2DyTh3Se6.

Cell and atoms, written as POSCAR:
```
Nd2DyTh3Se6
1.0
4.153 0.000 0.000
0.000 8.462 0.074
-2.077 -2.676 8.864
Se Dy Th Nd
6 1 3 2
direct
0.662 0.081 0.324
0.338 0.919 0.676
0.667 0.582 0.335
0.001 0.761 0.002
0.333 0.418 0.665
0.999 0.239 0.998
0.500 0.000 0.000
0.169 0.834 0.338
0.831 0.166 0.662
0.500 0.500 0.000
0.166 0.333 0.333
0.834 0.667 0.667
```

Properties
As for the space group: C2/m. As for the energy: -77.2 eV per cell.

Entry 2:
A plane-wave DFT calculation with PBE was carried out for an optimized crystal structure of Rb3SbIr.

Cell and atoms, written as POSCAR:
```
Rb3SbIr
1.0
-6.060 0.427 1.680
1.305 -2.893 5.446
1.140 5.584 2.693
Sb Rb Ir
1 3 1
direct
0.500 0.500 0.500
0.000 0.500 0.000
0.000 0.000 0.500
0.500 0.000 0.000
0.000 0.000 0.000
```

Properties
As for the space group: Pm-3m. As for the energy: -12.2 eV per cell.

Entry 3:
A plane-wave DFT calculation with PBE was carried out for an optimized crystal structure of K3AlZn.

Cell and atoms, written as POSCAR:
```
K3AlZn
1.0
6.719 0.000 0.000
0.000 6.719 0.000
0.000 0.000 6.719
K Al Zn
3 1 1
direct
0.500 0.000 0.000
0.000 0.500 0.000
0.000 0.000 0.500
0.000 0.000 0.000
0.500 0.500 0.500
```

Properties
As for the space group: Pm-3m. The formation energy comes out at 471 meV per atom. As for the energy: -6.0 eV per cell.

Entry 4:
A plane-wave DFT calculation with PBE was carried out for an optimized crystal structure of LaReAu3.

Cell and atoms, written as POSCAR:
```
LaReAu3
1.0
-1.347 -2.320 -4.600
2.679 -4.377 1.423
-4.401 -1.954 2.274
Au Re La
3 1 1
direct
0.500 0.000 0.000
0.000 0.000 0.500
0.000 0.500 0.000
0.500 0.500 0.500
0.000 0.000 0.000
```

Properties
As for the space group: Pm-3m. The energy above the most stable polymorph in this dataset comes out at 1596 meV/atom. The formation energy comes out at 1929 meV per atom. As for the energy: -17.6 eV per cell.

Entry 5:
A plane-wave DFT calculation with PBE was carried out for an optimized crystal structure of Mg2TcP.

Cell and atoms, written as POSCAR:
```
Mg2TcP
1.0
-2.053 6.068 -6.139
-4.694 4.779 -5.818
-3.865 6.931 -3.968
Tc P Mg
1 1 2
direct
0.750 0.750 0.750
0.250 0.250 0.250
0.999 0.999 0.999
0.501 0.501 0.501
```

Properties
As for the space group: R-3m. The formation energy comes out at 177 meV per atom. As for the energy: -18.3 eV per cell.

Entry 6:
A plane-wave DFT calculation with PBE was carried out for an optimized crystal structure of NdErGaAg.

Cell and atoms, written as POSCAR:
```
NdErGaAg
1.0
5.182 0.000 0.000
2.591 4.488 0.000
2.591 1.496 4.231
Ag Nd Ga Er
1 1 1 1
direct
0.250 0.250 0.250
0.500 0.500 0.500
0.750 0.750 0.750
0.000 0.000 0.000
```

Properties
As for the space group: F-43m. The formation energy comes out at -426 meV per atom. As for the energy: -16.9 eV per cell.

Entry 7:
A plane-wave DFT calculation with PBE was carried out for an optimized crystal structure of KCdPRu2.

Cell and atoms, written as POSCAR:
```
KCdPRu2
1.0
4.455 0.000 0.000
0.000 5.474 0.000
0.000 0.000 4.455
P Ru Cd K
1 2 1 1
direct
0.000 0.000 0.000
0.000 0.000 0.500
0.500 0.000 0.000
0.500 0.500 0.500
0.000 0.500 0.000
```

Properties
As for the space group: P4/mmm. The formation energy comes out at 492 meV per atom. As for the energy: -23.5 eV per cell.

Entry 8:
A plane-wave DFT calculation with PBE was carried out for an optimized crystal structure of LaGaOs.

Cell and atoms, written as POSCAR:
```
LaGaOs
1.0
4.282 0.000 0.000
0.000 8.753 2.259
-2.141 -0.927 3.591
La Ga Os
2 2 2
direct
0.000 0.263 0.000
0.000 0.737 0.000
0.333 0.001 0.667
0.667 0.999 0.333
0.333 0.499 0.667
0.667 0.501 0.333
```

Properties
As for the space group: P-3m1. The formation energy comes out at -350 meV per atom. As for the energy: -40.5 eV per cell.

Q: What is the formula in the third record?
A: K3AlZn

Q: energy of number 4 (LaReAu3)?
A: -17.6 eV per cell

Q: energy of number 7 (KCdPRu2)?
A: -23.5 eV per cell